No. 1
AlCoPt2: optimized geometry, GGA-PBE.

abc: 8.4901 8.4901 8.4901
angles: 19.10 19.10 19.10
Closest atoms and distances in Å follow each position.
Positions (direct):
Al  0.0000  0.0000  0.0000  6 Pt 2.60, 6 Al 2.82
Co  0.5000  0.5000  0.5000  6 Pt 2.68, 6 Co 2.82
Pt  0.2521  0.2521  0.2521  3 Al 2.60, 3 Co 2.68, 6 Pt 2.82
Pt  0.7479  0.7479  0.7479  3 Al 2.60, 3 Co 2.68, 6 Pt 2.82

Output
Total DFT energy (no corrections): -0.44864 Ry per atom
Crystal system: trigonal
Space-group type: R-3m, No. 166

No. 2
KDy2MnSe4: optimized geometry, GGA-PBE.

abc: 7.3776 7.3776 14.4596
angles: 90.00 90.00 147.52
Closest atoms and distances in Å follow each position.
Positions (direct):
K  0.1101  0.8899  0.7500  6 Se 3.23-3.38
K  0.8899  0.1101  0.2500  6 Se 3.23-3.38
Dy  0.3679  0.6321  0.5612  6 Se 2.87-2.92
Dy  0.3679  0.6321  0.9388  6 Se 2.87-2.92
Dy  0.6321  0.3679  0.0612  6 Se 2.87-2.92
Dy  0.6321  0.3679  0.4388  6 Se 2.87-2.92
Mn  0.1654  0.8346  0.2500  4 Se 2.47-2.51
Mn  0.8346  0.1654  0.7500  4 Se 2.47-2.51
Se  0.0000  0.0000  0.0000  4 Dy 2.92
Se  0.0000  0.0000  0.5000  4 Dy 2.92
Se  0.2660  0.7340  0.1106  1 Mn 2.47
Se  0.2660  0.7340  0.3894  1 Mn 2.47
Se  0.4351  0.5649  0.7500  2 Mn 2.51
Se  0.5649  0.4351  0.2500  2 Mn 2.51
Se  0.7340  0.2660  0.6106  1 Mn 2.47
Se  0.7340  0.2660  0.8894  1 Mn 2.47

Output
Formation energy (no corrections): -1447 meV/atom
Total DFT energy (no corrections): -0.41328 Ry per atom
Crystal system: orthorhombic
Space-group type: Cmcm, No. 63

No. 3
Nd4CdHg2Ru: optimized geometry, GGA-PBE.

abc: 9.1419 9.1419 9.1419
angles: 34.02 34.02 34.02
Closest atoms and distances in Å follow each position.
Positions (direct):
Nd  0.1119  0.1119  0.1119  1 Ru 2.89, 3 Hg 3.12
Nd  0.3666  0.3666  0.3666  3 Ru 3.20, 4 Hg 3.31-3.48, 1 Cd 3.44, 3 Nd 3.53
Nd  0.6334  0.6334  0.6334  3 Ru 3.20, 4 Hg 3.31-3.48, 1 Cd 3.44, 3 Nd 3.53
Nd  0.8881  0.8881  0.8881  1 Ru 2.89, 3 Hg 3.12
Cd  0.5000  0.5000  0.5000  8 Nd 3.40-3.44, 6 Hg 3.60
Hg  0.2382  0.2382  0.2382  8 Nd 3.12-3.48
Hg  0.7618  0.7618  0.7618  8 Nd 3.12-3.48
Ru  0.0000  0.0000  0.0000  8 Nd 2.89-3.20

Output
Total DFT energy (no corrections): -0.30123 Ry per atom
Crystal system: trigonal
Space-group type: R-3m, No. 166